# 1
PBE-GGA Pu2SiIr, optimized geometry; raw formation energy = -0.488 eV per atom; raw total energy = -44.9 eV for the cell shown
1.0
3.9403 0.0000 0.0000
0.0000 2.0585 5.2654
0.0000 -2.0585 5.2654
Pu Si Ir
2 1 1
direct
0.0000 0.0000 0.0000
0.5000 0.2873 0.2873
0.5000 0.5747 0.5747
0.0000 0.7236 0.7236


# 2
PBE-GGA Pu2SiIr, optimized geometry; raw formation energy = -0.480 eV per atom; raw total energy = -44.9 eV for the cell shown
1.0
2.2029 1.2719 4.7152
-2.2029 1.2719 4.7152
0.0000 -2.5437 4.7152
Pu Si Ir
2 1 1
direct
0.0000 0.0000 0.0000
0.2261 0.2261 0.2261
0.7766 0.7766 0.7766
0.4545 0.4545 0.4545


# 3
PBE-GGA Pu3SiIr3, optimized geometry; raw formation energy = -0.544 eV per atom; raw total energy = -157.6 eV for the cell shown
1.0
5.1643 -1.9931 0.0000
5.1643 1.9931 0.0000
-4.7600 0.0000 13.6316
Pu Si Ir
6 2 6
direct
0.0084 0.0084 0.3756
0.1058 0.1058 0.9256
0.2395 0.2395 0.2240
0.7605 0.7605 0.7760
0.8942 0.8942 0.0744
0.9916 0.9916 0.6244
0.2700 0.2700 0.6123
0.7300 0.7300 0.3877
0.3451 0.3451 0.4665
0.3743 0.3743 0.9254
0.4755 0.4755 0.7642
0.5245 0.5245 0.2358
0.6257 0.6257 0.0746
0.6549 0.6549 0.5335


# 4
PBE-GGA Pu4Si3Ir, optimized geometry; raw formation energy = 0.108 eV per atom; raw total energy = -81.6 eV for the cell shown
1.0
2.8967 0.0000 0.0000
0.0000 3.8189 0.0000
0.0000 0.0000 11.8871
Pu Si Ir
4 3 1
direct
0.0000 0.0000 0.0000
0.0000 0.5000 0.3997
0.5000 0.0000 0.4923
0.5000 0.5000 0.9051
0.0000 0.5000 0.6393
0.5000 0.0000 0.2548
0.5000 0.5000 0.1413
0.0000 0.0000 0.7509


# 5
PBE-GGA PuSi2Ir2, optimized geometry; raw formation energy = -0.855 eV per atom; raw total energy = -94.4 eV for the cell shown
1.0
4.1387 0.0000 0.0000
0.0000 4.1387 0.0000
0.0000 0.0000 9.9180
Pu Si Ir
2 4 4
direct
0.2500 0.2500 0.2440
0.7500 0.7500 0.7560
0.2500 0.2500 0.6303
0.2500 0.7500 0.0000
0.7500 0.2500 0.0000
0.7500 0.7500 0.3697
0.2500 0.2500 0.8723
0.2500 0.7500 0.5000
0.7500 0.2500 0.5000
0.7500 0.7500 0.1277


# 6
PBE-GGA PuSi3Ir3, optimized geometry; raw formation energy = -0.322 eV per atom; raw total energy = -118.9 eV for the cell shown
1.0
6.5613 0.0000 0.0000
0.0000 6.5613 0.0000
0.0000 0.0000 6.5613
Pu Si Ir
2 6 6
direct
0.0000 0.0000 0.0000
0.5000 0.5000 0.5000
0.0000 0.2500 0.5000
0.0000 0.7500 0.5000
0.2500 0.5000 0.0000
0.5000 0.0000 0.2500
0.5000 0.0000 0.7500
0.7500 0.5000 0.0000
0.0000 0.5000 0.2500
0.0000 0.5000 0.7500
0.2500 0.0000 0.5000
0.5000 0.2500 0.0000
0.5000 0.7500 0.0000
0.7500 0.0000 0.5000


# 7
PBE-GGA Pu2SiIr, optimized geometry; raw formation energy = -0.466 eV per atom; raw total energy = -44.8 eV for the cell shown
1.0
3.7418 0.0000 0.0000
0.0000 3.7418 0.0000
0.0000 0.0000 5.5463
Pu Si Ir
2 1 1
direct
0.0000 0.0000 0.2482
0.0000 0.0000 0.7518
0.5000 0.5000 0.0000
0.5000 0.5000 0.5000


# 8
PBE-GGA Pu2Si4Ir5, optimized geometry; raw formation energy = -0.715 eV per atom; raw total energy = -102.5 eV for the cell shown
1.0
0.0000 4.8135 7.1081
2.7972 0.0000 7.1081
2.7972 4.8135 0.0000
Pu Si Ir
2 4 5
direct
0.1229 0.1229 0.8771
0.8771 0.8771 0.1229
0.2132 0.5243 0.4757
0.4757 0.7868 0.2132
0.5243 0.2132 0.7868
0.7868 0.4757 0.5243
0.0000 0.0000 0.5000
0.2500 0.2500 0.2500
0.5000 0.5000 0.0000
0.5000 0.5000 0.5000
0.7500 0.7500 0.7500


# 9
PBE-GGA Pu2Si5Ir, optimized geometry; raw formation energy = -0.467 eV per atom; raw total energy = -68.4 eV for the cell shown
1.0
-2.9253 2.9253 4.2464
2.9253 -2.9253 4.2464
2.9253 2.9253 -4.2464
Pu Si Ir
2 5 1
direct
0.0000 0.5000 0.5000
0.5000 0.0000 0.5000
0.0360 0.0360 0.5819
0.0360 0.4540 0.0000
0.4540 0.0360 0.0000
0.4540 0.4540 0.4181
0.4559 0.4559 0.0000
0.7313 0.7313 0.0000


# 10
PBE-GGA Pu3Si3Ir, optimized geometry; raw formation energy = -0.569 eV per atom; raw total energy = -144.2 eV for the cell shown
1.0
5.3016 -2.1141 0.0000
5.3016 2.1141 0.0000
-4.5794 0.0000 12.5056
Pu Si Ir
6 6 2
direct
0.0100 0.0100 0.3732
0.0993 0.0993 0.9146
0.2533 0.2533 0.2185
0.7467 0.7467 0.7815
0.9007 0.9007 0.0854
0.9900 0.9900 0.6268
0.3659 0.3659 0.4502
0.3939 0.3939 0.9274
0.4394 0.4394 0.7585
0.5606 0.5606 0.2415
0.6061 0.6061 0.0726
0.6341 0.6341 0.5498
0.2571 0.2571 0.5841
0.7429 0.7429 0.4159


# 11
PBE-GGA PuSi2Ir4, optimized geometry; raw formation energy = -0.655 eV per atom; raw total energy = -130.4 eV for the cell shown
1.0
7.6086 0.0000 0.0000
0.0000 7.6086 0.0000
0.0000 0.0000 3.8638
Pu Si Ir
2 4 8
direct
0.0000 0.0000 0.0000
0.5000 0.5000 0.5000
0.2267 0.2267 0.5000
0.2733 0.7267 0.0000
0.7267 0.2733 0.0000
0.7733 0.7733 0.5000
0.0764 0.6663 0.5000
0.1663 0.4236 0.0000
0.3337 0.9236 0.5000
0.4236 0.1663 0.0000
0.5764 0.8337 0.0000
0.6663 0.0764 0.5000
0.8337 0.5764 0.0000
0.9236 0.3337 0.5000


# 12
PBE-GGA Pu3Si8Ir3, optimized geometry; raw formation energy = -0.501 eV per atom; raw total energy = -120.0 eV for the cell shown
1.0
-2.0665 4.7229 5.8776
2.0665 -4.7229 5.8776
2.0665 4.7229 -5.8776
Pu Si Ir
3 8 3
direct
0.0000 0.0000 0.0000
0.3002 0.3002 0.0000
0.6998 0.6998 0.0000
0.0323 0.6633 0.3690
0.1591 0.8733 0.2858
0.2942 0.6633 0.6310
0.4125 0.1267 0.2858
0.5875 0.8733 0.7142
0.7058 0.3367 0.3690
0.8409 0.1267 0.7142
0.9677 0.3367 0.6310
0.2837 0.5000 0.7837
0.5000 0.0000 0.5000
0.7163 0.5000 0.2163